First-principles (PBE-GGA) data for a relaxed Sr2ReSi crystal, as listed in Alexandria via LeMat-Bulk.

Size of the total moment, μB/atom: 0.000
Energy relative to the elements, uncorrected, eV per atom: 0.973

Geometry as CIF:
```
data_Sr2ReSi
_symmetry_space_group_name_H-M 'C 1 2/m 1'
_symmetry_Int_Tables_number 12
_cell_length_a 9.686
_cell_length_b 2.943
_cell_length_c 7.053
_cell_angle_alpha 90.00
_cell_angle_beta 95.35
_cell_angle_gamma 90.00
loop_
_symmetry_equiv_pos_as_xyz
'x,y,z'
'-x,-y,-z'
'-x,y,-z'
'x,-y,z'
'x+1/2,y+1/2,z'
'-x+1/2,-y+1/2,-z'
'-x+1/2,y+1/2,-z'
'x+1/2,-y+1/2,z'
loop_
_atom_site_label
_atom_site_fract_x
_atom_site_fract_y
_atom_site_fract_z
Sr1 0.248 0.000 0.253
Re1 0.000 0.000 0.500
Si1 0.000 0.500 0.000
```